(1)
Ce2GaTc3: optimized geometry, PBE-GGA.

## Properties
As for the formation energy: -0.2640 eV per atom. The crystal system is monoclinic. The calculation puts the total magnetization at 0.0 μB/f.u. As for the symmetry: C2/m (12). The energy is -47.6 eV/cell. The distance to the lowest polymorph of the same formula is 0.000 eV per atom. The calculation puts the density of states at the Fermi level at 7.7 states/eV/f.u.

Cell lengths 5.3690, 5.3690, 5.4429 Å; angles 90.34, 119.55, 119.60 degrees
Closest atoms and distances in Å follow each position.
Positions (direct):
Ce  0.7567  0.3793  0.1360  9 Tc 3.13-3.24, 3 Ga 3.16-3.17, 4 Ce 3.25-3.34
Ce  0.2433  0.6207  0.8640  9 Tc 3.13-3.24, 3 Ga 3.16-3.17, 4 Ce 3.25-3.34
Ga  0.0000  0.0000  0.0000  6 Tc 2.72
Tc  0.5000  0.5000  0.5000  4 Tc 2.68-2.70, 2 Ga 2.72
Tc  0.0000  0.0000  0.5000  4 Tc 2.68-2.70, 2 Ga 2.72
Tc  0.5000  0.0000  0.5000  4 Tc 2.68, 2 Ga 2.72

(2)
Ce2GaTc: optimized geometry, PBE-GGA.

## Properties
As for the formation energy: -0.1883 eV per atom. The crystal system is triclinic. The calculation puts the total magnetization at 0.0 μB/f.u. As for the symmetry: P1 (1). The energy is -52.0 eV/cell. The calculation puts the density of states at the Fermi level at 5.9 states/eV/f.u.

Cell lengths 5.6896, 5.6824, 5.6701 Å; angles 75.95, 76.33, 82.49 degrees
Closest atoms and distances in Å follow each position.
Positions (direct):
Ce  0.1464  0.5977  0.0895  1 Tc 2.73, 2 Ga 2.92-3.05, 1 Ce 2.95
Ce  0.1222  0.0634  0.5599  1 Tc 2.64, 1 Ga 2.94
Ce  0.7680  0.6921  0.6191  1 Tc 2.68, 1 Ce 2.87
Ce  0.5757  0.8424  0.0802  1 Tc 2.40
Ga  0.3003  0.5174  0.5850  2 Tc 2.62-2.85, 1 Ga 2.74, 1 Ce 2.92
Ga  0.6717  0.2703  0.3160  3 Tc 2.70-2.91, 1 Ga 2.74
Tc  0.6047  0.2536  0.8442  2 Ce 2.40-2.68, 1 Ga 2.62
Tc  0.0847  0.1607  0.9996  2 Ce 2.64-2.73, 2 Ga 2.70-2.85